[1]
NdTm5Ru6: relaxed, PBE-GGA.

Lattice parameters (Å, degrees): 8.2665 8.2665 8.2665 146.38 131.66 60.17
Fractional positions:
Nd: 0.0000 0.0000 0.0000
Tm: 0.1696 0.6696 0.5000
Tm: 0.3335 0.3335 0.0000
Tm: 0.5000 0.0000 0.5000
Tm: 0.6665 0.6665 0.0000
Tm: 0.8304 0.3304 0.5000
Ru: 0.0837 0.8318 0.2519
Ru: 0.2543 0.5000 0.7543
Ru: 0.4201 0.1682 0.2519
Ru: 0.5799 0.8318 0.7481
Ru: 0.7457 0.5000 0.2457
Ru: 0.9163 0.1682 0.7481

Output
* crystal system: orthorhombic
* space-group type: Immm, No. 71
* DFT total energy: -7.25 eV/atom

=====

[2]
NdTmRu4: relaxed, PBE-GGA.

Lattice parameters (Å, degrees): 5.3641 5.3641 5.3641 60.00 60.00 60.00
Fractional positions:
Nd: 0.0000 0.0000 0.0000
Tm: 0.7500 0.7500 0.7500
Ru: 0.3753 0.3753 0.3753
Ru: 0.3753 0.3753 0.8740
Ru: 0.3753 0.8740 0.3753
Ru: 0.8740 0.3753 0.3753

Output
* crystal system: cubic
* space-group type: F-43m, No. 216
* DFT total energy: -7.95 eV/atom

=====

[3]
Nd2TmU2Ru5: relaxed, PBE-GGA.

Lattice parameters (Å, degrees): 10.8407 10.8407 3.5238 90.00 90.00 90.00
Fractional positions:
Nd: 0.1748 0.3252 0.0000
Nd: 0.3252 0.8252 0.0000
Nd: 0.6748 0.1748 0.0000
Nd: 0.8252 0.6748 0.0000
Tm: 0.0000 0.0000 0.0000
Tm: 0.5000 0.5000 0.0000
U: 0.1372 0.6372 0.0000
U: 0.3628 0.1372 0.0000
U: 0.6372 0.8628 0.0000
U: 0.8628 0.3628 0.0000
Ru: 0.0000 0.5000 0.5000
Ru: 0.0501 0.7860 0.5000
Ru: 0.2140 0.0501 0.5000
Ru: 0.2860 0.5501 0.5000
Ru: 0.4499 0.2860 0.5000
Ru: 0.5000 0.0000 0.5000
Ru: 0.5501 0.7140 0.5000
Ru: 0.7140 0.4499 0.5000
Ru: 0.7860 0.9499 0.5000
Ru: 0.9499 0.2140 0.5000

Output
* crystal system: tetragonal
* space-group type: P4/mbm, No. 127
* DFT total energy: -8.53 eV/atom

=====

[4]
NdTmZnRu: relaxed, PBE-GGA.

Lattice parameters (Å, degrees): 4.9690 4.9690 4.9690 60.00 60.00 60.00
Fractional positions:
Nd: 0.0000 0.0000 0.0000
Tm: 0.5000 0.5000 0.5000
Zn: 0.2500 0.2500 0.2500
Ru: 0.7500 0.7500 0.7500

Output
* crystal system: cubic
* space-group type: F-43m, No. 216
* distance to the lowest polymorph of the same formula: 0.000 eV per atom